# PBE HfTiAgN2, relaxed
data_HfTiAgN2
_chemical_formula_sum 'Hf1 Ti1 Ag1 N2'
_symmetry_space_group_name_H-M 'P 1'
_symmetry_Int_Tables_number 1
_cell_length_a 3.940
_cell_length_b 5.634
_cell_length_c 3.940
_cell_angle_alpha 90.00
_cell_angle_beta 90.00
_cell_angle_gamma 90.00
loop_
_symmetry_equiv_pos_as_xyz
'x,y,z'
loop_
_atom_site_label
_atom_site_type_symbol
_atom_site_fract_x
_atom_site_fract_y
_atom_site_fract_z
N1 N 0.000 0.000 0.500
N2 N 0.500 0.000 0.000
Hf1 Hf 0.000 0.500 0.000
Ag1 Ag 0.500 0.500 0.500
Ti1 Ti 0.000 0.000 0.000
# VASP energy (eV/atom): -6.637
# Energy relative to the elements, uncorrected (meV/atom): 833